1.
The following is a DFT calculation (PBE) of a geometry-optimized Ti3Al2N structure.

POSCAR file:
```
Ti3Al2N
1.0
6.923 0.000 0.000
0.000 6.923 0.000
0.000 0.000 6.923
Ti Al N
12 8 4
direct
0.041 0.125 0.791
0.125 0.791 0.041
0.209 0.541 0.375
0.291 0.459 0.875
0.375 0.209 0.541
0.459 0.875 0.291
0.541 0.375 0.209
0.625 0.709 0.959
0.709 0.959 0.625
0.791 0.041 0.125
0.875 0.291 0.459
0.959 0.625 0.709
0.071 0.929 0.429
0.179 0.179 0.179
0.321 0.821 0.679
0.429 0.071 0.929
0.571 0.571 0.571
0.679 0.321 0.821
0.821 0.679 0.321
0.929 0.429 0.071
0.125 0.375 0.625
0.375 0.625 0.125
0.625 0.125 0.375
0.875 0.875 0.875
```

Its space group is P4_132 (213). The total DFT energy (no corrections) comes out at -7.453 eV/atom. The calculation puts the total magnetization at 0.00 μB/atom.



2.
The following is a DFT calculation (PBE) of a geometry-optimized Ti3MoAu structure.

POSCAR file:
```
Ti3MoAu
1.0
4.699 0.000 0.000
0.000 4.699 0.000
0.000 0.000 4.699
Ti Mo Au
3 1 1
direct
0.000 0.000 0.500
0.000 0.500 0.000
0.500 0.000 0.000
0.000 0.000 0.000
0.500 0.500 0.500
```

Its space group is Pm-3m (221). The total DFT energy (no corrections) comes out at -6.835 eV/atom. The calculation puts the total magnetization at 0.03 μB/atom.



3.
The following is a DFT calculation (PBE) of a geometry-optimized YNbSi2Os structure.

POSCAR file:
```
YNbSi2Os
1.0
-2.017 2.017 5.473
2.017 -2.017 5.473
2.017 2.017 -5.473
Y Nb Si Os
1 1 2 1
direct
0.000 0.000 0.000
0.250 0.750 0.500
0.391 0.391 0.000
0.609 0.609 0.000
0.750 0.250 0.500
```

Its space group is I-4m2 (119). The total DFT energy (no corrections) comes out at -8.341 eV/atom. The calculation puts the total magnetization at 0.00 μB/atom.



> The highest total magnetization belongs to which entry?

Ti3MoAu



> The highest total magnetization belongs to which entry?

Ti3MoAu



Repeat the third record exactly.
The following is a DFT calculation (PBE) of a geometry-optimized YNbSi2Os structure.

POSCAR file:
```
YNbSi2Os
1.0
-2.017 2.017 5.473
2.017 -2.017 5.473
2.017 2.017 -5.473
Y Nb Si Os
1 1 2 1
direct
0.000 0.000 0.000
0.250 0.750 0.500
0.391 0.391 0.000
0.609 0.609 0.000
0.750 0.250 0.500
```

Its space group is I-4m2 (119). The total DFT energy (no corrections) comes out at -8.341 eV/atom. The calculation puts the total magnetization at 0.00 μB/atom.